NbFeF6: relaxed, PBE with a Hubbard U.

Lattice parameters (Å, degrees): 5.0246 5.0246 5.2949 96.09 96.09 117.48
Last column: nearest neighbours and their distance in Å.
Fractional positions:
1 Nb 0.0000 0.0000 0.0000  6 F 1.97-2.05
2 Fe 0.5000 0.5000 0.5000  6 F 2.11-2.12
3 F 0.0993 0.3925 0.2405  1 Nb 2.05, 1 Fe 2.12
4 F 0.2424 0.2424 0.7594  1 Nb 1.97, 1 Fe 2.11
5 F 0.3925 0.0993 0.2405  1 Nb 2.05, 1 Fe 2.12
6 F 0.6075 0.9007 0.7595  1 Nb 2.05, 1 Fe 2.12
7 F 0.7576 0.7576 0.2406  1 Nb 1.97, 1 Fe 2.11
8 F 0.9007 0.6075 0.7595  1 Nb 2.05, 1 Fe 2.12

Properties
Raw total energy (eV/atom): -6.05
Total magnetic moment (μB/cell): 5.0